{
  "formula": "Ba3MnBi2O9",
  "functional": "GGA+U",
  "state": "relaxed",
  "lattice": [[-3.0961, -2.0850, 4.7291], [-0.7147, -2.5298, -5.4209], [5.4859, -4.7543, 1.4955]],
  "species": ["Mn", "O", "O", "O", "O", "O", "O", "O", "O", "O", "Bi", "Bi", "Ba", "Ba", "Ba"],
  "fractional_positions": [[0.0000, 0.0000, 0.5000], [0.1588, 0.3175, 0.3424], [0.3175, 0.1588, 0.6576], [0.0000, 0.5000, 0.0000], [0.5000, 0.0000, 0.0000], [0.8412, 0.1588, 0.6576], [0.1588, 0.8412, 0.3424], [0.5000, 0.5000, 0.0000], [0.8412, 0.6825, 0.6576], [0.6825, 0.8412, 0.3424], [0.6667, 0.3333, 0.8204], [0.3333, 0.6667, 0.1796], [0.6667, 0.3333, 0.3389], [0.3333, 0.6667, 0.6611], [0.0000, 0.0000, 0.0000]],
  "dft_energy_ev_per_atom": -6.22,
  "space_group": "P-3m1, No. 164"
}